Density functional theory data (PBE with a Hubbard U) for NaPr2FeO5 after structural relaxation.

Unit cell a=6.8259 b=6.8259 c=5.6926 alpha=90.00 beta=90.00 gamma=90.00
Closest atoms and distances in Å follow each position.
Sites, in units of the cell vectors:
Na  0.0000  0.0000  0.0000  10 O 2.85-3.00
Na  0.5000  0.5000  0.0000  10 O 2.85-3.00
Pr  0.1782  0.3218  0.5000  8 O 2.37-2.61
Pr  0.3218  0.8218  0.5000  8 O 2.37-2.61
Pr  0.6782  0.1782  0.5000  8 O 2.37-2.61
Pr  0.8218  0.6782  0.5000  8 O 2.37-2.61
Fe  0.0000  0.5000  0.0000  4 O 1.85
Fe  0.5000  0.0000  0.0000  4 O 1.85
O  0.0000  0.0000  0.5000  4 Pr 2.51
O  0.1311  0.6311  0.2377  1 Fe 1.85
O  0.1311  0.6311  0.7623  1 Fe 1.85
O  0.3689  0.1311  0.2377  1 Fe 1.85
O  0.3689  0.1311  0.7623  1 Fe 1.85
O  0.5000  0.5000  0.5000  4 Pr 2.51
O  0.6311  0.8689  0.2377  1 Fe 1.85
O  0.6311  0.8689  0.7623  1 Fe 1.85
O  0.8689  0.3689  0.2377  1 Fe 1.85
O  0.8689  0.3689  0.7623  1 Fe 1.85

## Properties
Its space group is P4/mbm, No. 127. The calculation puts the total magnetization at 5.95 μB per cell. The calculation puts the total DFT energy (no corrections) at -125.7 eV per cell.